VASP calculation (PBE) on Tb2SiSeO4 after structural relaxation.

Values from the calculation:
Calculated total energy in eV/atom: -7.750
Total magnetization in Bohr magnetons per cell: 0.0
Crystal system: orthorhombic

Cell lengths 6.030, 6.961, 10.780 Å; angles 90.00, 90.00, 90.00 degrees
Positions (direct):
Tb: 0.107 0.250 0.000
Tb: 0.107 0.250 0.500
Tb: 0.368 0.530 0.250
Tb: 0.368 0.970 0.750
Tb: 0.632 0.030 0.250
Tb: 0.632 0.470 0.750
Tb: 0.893 0.750 0.000
Tb: 0.893 0.750 0.500
Si: 0.388 0.750 0.000
Si: 0.388 0.750 0.500
Si: 0.612 0.250 0.000
Si: 0.612 0.250 0.500
Se: 0.078 0.622 0.750
Se: 0.078 0.878 0.250
Se: 0.922 0.122 0.750
Se: 0.922 0.378 0.250
O: 0.225 0.569 0.032
O: 0.225 0.569 0.468
O: 0.225 0.931 0.532
O: 0.225 0.931 0.968
O: 0.445 0.240 0.621
O: 0.445 0.240 0.879
O: 0.445 0.260 0.121
O: 0.445 0.260 0.379
O: 0.555 0.740 0.621
O: 0.555 0.740 0.879
O: 0.555 0.760 0.121
O: 0.555 0.760 0.379
O: 0.775 0.069 0.032
O: 0.775 0.069 0.468
O: 0.775 0.431 0.532
O: 0.775 0.431 0.968

=====

VASP calculation (PBE) on SmSeO3 after structural relaxation.

Values from the calculation:
Calculated total energy in eV/atom: -6.102
Total magnetization in Bohr magnetons per cell: 0.0
Crystal system: tetragonal

Cell lengths 5.711, 5.711, 5.711 Å; angles 119.92, 119.92, 90.14 degrees
Positions (direct):
Sm: 0.250 0.750 0.500
Sm: 0.750 0.250 0.500
Se: 0.000 0.000 0.000
Se: 0.500 0.500 0.000
O: 0.168 0.668 0.836
O: 0.250 0.250 0.000
O: 0.332 0.168 0.500
O: 0.668 0.832 0.500
O: 0.750 0.750 0.000
O: 0.832 0.332 0.164

=====

VASP calculation (PBE) on Sm2Se2O7 after structural relaxation.

Values from the calculation:
Calculated total energy in eV/atom: -6.759
Total magnetization in Bohr magnetons per cell: 0.0
Crystal system: tetragonal

Cell lengths 10.738, 10.738, 5.279 Å; angles 90.00, 90.00, 90.00 degrees
Positions (direct):
Sm: 0.127 0.627 0.000
Sm: 0.127 0.873 0.500
Sm: 0.373 0.627 0.500
Sm: 0.373 0.873 0.000
Sm: 0.627 0.127 0.000
Sm: 0.627 0.373 0.500
Sm: 0.873 0.127 0.500
Sm: 0.873 0.373 0.000
Se: 0.130 0.130 0.035
Se: 0.130 0.370 0.535
Se: 0.370 0.130 0.535
Se: 0.370 0.370 0.035
Se: 0.630 0.630 0.965
Se: 0.630 0.870 0.465
Se: 0.870 0.630 0.465
Se: 0.870 0.870 0.965
O: 0.001 0.680 0.626
O: 0.001 0.820 0.126
O: 0.068 0.068 0.309
O: 0.068 0.432 0.809
O: 0.180 0.501 0.374
O: 0.180 0.999 0.874
O: 0.250 0.750 0.250
O: 0.250 0.750 0.750
O: 0.320 0.501 0.874
O: 0.320 0.999 0.374
O: 0.432 0.068 0.809
O: 0.432 0.432 0.309
O: 0.499 0.680 0.126
O: 0.499 0.820 0.626
O: 0.501 0.180 0.374
O: 0.501 0.320 0.874
O: 0.568 0.568 0.691
O: 0.568 0.932 0.191
O: 0.680 0.001 0.626
O: 0.680 0.499 0.126
O: 0.750 0.250 0.250
O: 0.750 0.250 0.750
O: 0.820 0.001 0.126
O: 0.820 0.499 0.626
O: 0.932 0.568 0.191
O: 0.932 0.932 0.691
O: 0.999 0.180 0.874
O: 0.999 0.320 0.374

=====

VASP calculation (PBE) on SmTlSeO after structural relaxation.

Values from the calculation:
Calculated total energy in eV/atom: -5.599
Offset from the most stable computed form in meV per atom: 271
Total magnetization in Bohr magnetons per cell: 0.0
Crystal system: orthorhombic

Cell lengths 4.715, 8.117, 6.645 Å; angles 90.00, 90.00, 90.00 degrees
Positions (direct):
Sm: 0.000 0.135 0.000
Sm: 0.000 0.865 0.500
Tl: 0.500 0.293 0.577
Tl: 0.500 0.707 0.077
Se: 0.500 0.315 0.088
Se: 0.500 0.685 0.588
O: 0.000 0.086 0.680
O: 0.000 0.914 0.180

=====

VASP calculation (PBE) on SmTlSeO after structural relaxation.

Values from the calculation:
Calculated total energy in eV/atom: -5.870
Offset from the most stable computed form in meV per atom: 0
Total magnetization in Bohr magnetons per cell: 0.0
Crystal system: monoclinic

Cell lengths 5.581, 5.527, 12.118 Å; angles 90.00, 95.25, 90.00 degrees
Positions (direct):
Sm: 0.020 0.000 0.097
Sm: 0.480 0.000 0.902
Sm: 0.520 0.500 0.098
Sm: 0.980 0.500 0.903
Tl: 0.003 0.541 0.607
Tl: 0.497 0.538 0.393
Tl: 0.503 0.038 0.607
Tl: 0.997 0.041 0.393
Se: 0.024 0.506 0.251
Se: 0.476 0.504 0.749
Se: 0.524 0.004 0.251
Se: 0.976 0.006 0.749
O: 0.250 0.250 0.000
O: 0.250 0.750 0.000
O: 0.750 0.250 0.000
O: 0.750 0.750 0.000

=====

VASP calculation (PBE) on ZnSnSeO after structural relaxation.

Values from the calculation:
Calculated total energy in eV/atom: -4.282
Offset from the most stable computed form in meV per atom: 27
Crystal system: hexagonal

Cell lengths 3.880, 3.880, 12.234 Å; angles 90.00, 90.00, 120.00 degrees
Positions (direct):
Zn: 0.000 0.000 0.000
Zn: 0.000 0.000 0.500
Sn: 0.333 0.667 0.275
Sn: 0.667 0.333 0.775
Se: 0.333 0.667 0.582
Se: 0.667 0.333 0.082
O: 0.000 0.000 0.339
O: 0.000 0.000 0.839

=====

VASP calculation (PBE) on ZnSnSeO after structural relaxation.

Values from the calculation:
Calculated total energy in eV/atom: -4.292
Offset from the most stable computed form in meV per atom: 17
Crystal system: orthorhombic

Cell lengths 6.006, 3.893, 13.949 Å; angles 90.00, 90.00, 90.00 degrees
Positions (direct):
Zn: 0.124 0.250 0.198
Zn: 0.376 0.750 0.698
Zn: 0.624 0.250 0.302
Zn: 0.876 0.750 0.802
Sn: 0.247 0.750 0.412
Sn: 0.253 0.250 0.912
Sn: 0.747 0.750 0.088
Sn: 0.753 0.250 0.588
Se: 0.239 0.750 0.100
Se: 0.261 0.250 0.600
Se: 0.739 0.750 0.400
Se: 0.761 0.250 0.900
O: 0.213 0.750 0.820
O: 0.287 0.250 0.320
O: 0.713 0.750 0.680
O: 0.787 0.250 0.180

=====

VASP calculation (PBE) on ZnSnSeO after structural relaxation.

Values from the calculation:
Calculated total energy in eV/atom: -4.303
Offset from the most stable computed form in meV per atom: 6
Crystal system: orthorhombic

Cell lengths 6.037, 9.193, 5.867 Å; angles 90.00, 90.00, 90.00 degrees
Positions (direct):
Zn: 0.104 0.067 0.000
Zn: 0.396 0.067 0.500
Zn: 0.604 0.933 0.000
Zn: 0.896 0.933 0.500
Sn: 0.014 0.320 0.605
Sn: 0.486 0.320 0.105
Sn: 0.514 0.680 0.605
Sn: 0.986 0.680 0.105
Se: 0.014 0.681 0.601
Se: 0.486 0.681 0.101
Se: 0.514 0.319 0.601
Se: 0.986 0.319 0.101
O: 0.093 0.075 0.650
O: 0.407 0.075 0.150
O: 0.593 0.925 0.650
O: 0.907 0.925 0.150

=====

VASP calculation (PBE) on ZnSnSeO after structural relaxation.

Values from the calculation:
Calculated total energy in eV/atom: -4.297
Offset from the most stable computed form in meV per atom: 12
Crystal system: orthorhombic

Cell lengths 6.004, 7.078, 8.263 Å; angles 90.00, 90.00, 90.00 degrees
Positions (direct):
Zn: 0.006 0.111 0.453
Zn: 0.494 0.889 0.953
Zn: 0.506 0.389 0.547
Zn: 0.994 0.611 0.047
Sn: 0.071 0.641 0.387
Sn: 0.429 0.359 0.887
Sn: 0.571 0.859 0.613
Sn: 0.929 0.141 0.113
Se: 0.094 0.892 0.897
Se: 0.406 0.108 0.397
Se: 0.594 0.608 0.103
Se: 0.906 0.392 0.603
O: 0.118 0.360 0.010
O: 0.382 0.640 0.510
O: 0.618 0.140 0.990
O: 0.882 0.860 0.490

=====

VASP calculation (PBE) on ZnSnSeO after structural relaxation.

Values from the calculation:
Calculated total energy in eV/atom: -3.530
Offset from the most stable computed form in meV per atom: 779
Crystal system: tetragonal

Cell lengths 4.392, 4.392, 8.232 Å; angles 90.00, 90.00, 90.00 degrees
Positions (direct):
Zn: 0.250 0.250 0.244
Zn: 0.750 0.750 0.756
Sn: 0.250 0.750 0.500
Sn: 0.750 0.250 0.500
Se: 0.250 0.250 0.805
Se: 0.750 0.750 0.195
O: 0.250 0.250 0.015
O: 0.750 0.750 0.985

=====

VASP calculation (PBE) on ZnSnSeO after structural relaxation.

Values from the calculation:
Calculated total energy in eV/atom: -3.973
Offset from the most stable computed form in meV per atom: 336
Crystal system: hexagonal

Cell lengths 3.505, 3.505, 13.756 Å; angles 90.00, 90.00, 120.00 degrees
Positions (direct):
Zn: 0.333 0.667 0.000
Zn: 0.667 0.333 0.500
Sn: 0.000 0.000 0.213
Sn: 0.000 0.000 0.713
Se: 0.333 0.667 0.350
Se: 0.667 0.333 0.850
O: 0.000 0.000 0.038
O: 0.000 0.000 0.538

=====

VASP calculation (PBE) on ZnSnSeO after structural relaxation.

Values from the calculation:
Calculated total energy in eV/atom: -3.992
Offset from the most stable computed form in meV per atom: 317
Crystal system: tetragonal

Cell lengths 4.922, 4.922, 7.091 Å; angles 90.00, 90.00, 90.00 degrees
Positions (direct):
Zn: 0.250 0.250 0.129
Zn: 0.750 0.750 0.871
Sn: 0.250 0.250 0.675
Sn: 0.750 0.750 0.325
Se: 0.250 0.750 0.000
Se: 0.750 0.250 0.000
O: 0.250 0.250 0.398
O: 0.750 0.750 0.602

=====

| no. | calculated volume (Å³/f.u.) |
| --- | --- |
| 1 | 113 |
| 2 | 66 |
| 3 | 152 |
| 4 | 127 |
| 5 | 93 |
| 6 | 80 |
| 7 | 82 |
| 8 | 81 |
| 9 | 88 |
| 10 | 79 |
| 11 | 73 |
| 12 | 86 |